A geometry-optimized TiAlCr2O6 structure, computed with PBE+U.

The structure in extended XYZ format:
```
10
Lattice="4.9958 0.0000 0.0000 2.4314 4.5151 0.0000 0.0359 2.6699 4.6041" Properties=species:S:1:pos:R:3 pbc="T T T"
Ti 0.0000 0.0000 0.0000
Al 4.9854 5.7725 2.4264
Cr 2.4945 4.2681 4.1631
Cr 4.9406 2.9323 1.7691
O 1.7612 3.0039 0.8334
O 3.3821 5.9110 3.3492
O 4.0193 4.8838 0.9538
O 3.4215 2.7153 3.2028
O 3.9093 1.3542 0.9538
O 5.6925 4.2525 3.2084
```

Summary:
Total moment = 7.00 μB/cell
Space-group type = No. 1
V = 10.39 Å³ per atom
Total DFT energy (no corrections) = -80.68 eV per formula unit